Record 1
Here is a geometry-optimized ScTl4Hg structure from the Alexandria database. Energies are from PBE-GGA.

Lattice parameters (Å, degrees): 6.289 6.289 6.289 60.00 60.00 60.00
Each line ends with the local moment (μB).
Positions (direct):
1 Sc 0.000 0.000 0.000  0.22
2 Tl 0.875 0.375 0.375  0.01
3 Tl 0.375 0.375 0.875  0.01
4 Tl 0.375 0.875 0.375  0.01
5 Tl 0.375 0.375 0.375  0.01
6 Hg 0.750 0.750 0.750  0.00

D(E_F) = 5.9 states/eV/cell
density = 10.04 g cm⁻³
magnetization = 0.07 μB/atom
space group = F-43m (216)
ΔE_f = 233 meV/atom

***

Record 2
Here is a geometry-optimized Sc2Tl2Hg structure from the Alexandria database. Energies are from PBE-GGA.

Lattice parameters (Å, degrees): 4.511 4.511 7.491 72.48 72.48 90.00
Each line ends with the local moment (μB).
Positions (direct):
1 Sc 0.750 0.250 0.500  0.40
2 Sc 0.250 0.750 0.500  0.40
3 Tl 0.397 0.397 0.205  0.01
4 Tl 0.603 0.603 0.795  0.01
5 Hg 0.000 0.000 0.000  0.00

D(E_F) = 4.7 states/eV/cell
density = 8.42 g cm⁻³
magnetization = 0.23 μB/atom
space group = I4/mmm (139)
energy above the most stable polymorph in this dataset = 414.5 meV/atom
ΔE_f = 226 meV/atom